[1]
Entry from Alexandria via LeMat-Bulk: a relaxed structure of CrTcAs2 (PBE).

Output
Fermi-level density of states ... 2.8 states/eV/f.u.
Final energy ... -7.378 eV per atom
DFT formation energy ... -0.0564 eV/atom
Density ... 8.5 g/cm³

Unit cell a=4.634 b=4.634 c=4.479 alpha=103.75 beta=103.75 gamma=39.29
Fractional positions:
Cr (0.000, 0.000, 0.000)
Tc (0.227, 0.227, 0.602)
As (0.494, 0.494, 0.483)
As (0.733, 0.733, 0.100)

=====

[2]
Entry from Alexandria via LeMat-Bulk: a relaxed structure of CrTc2As (PBE).

Output
Fermi-level density of states ... 5.2 states/eV/f.u.
Final energy ... -8.523 eV per atom
DFT formation energy ... 0.2279 eV/atom
Density ... 9.6 g/cm³

Unit cell a=4.287 b=4.287 c=4.287 alpha=60.00 beta=60.00 gamma=60.00
Fractional positions:
Cr (0.000, 0.000, 0.000)
Tc (0.500, 0.500, 0.500)
Tc (0.750, 0.750, 0.750)
As (0.250, 0.250, 0.250)

=====

[3]
Entry from Alexandria via LeMat-Bulk: a relaxed structure of CrTcAs2 (PBE).

Output
Fermi-level density of states ... 3.5 states/eV/f.u.
Final energy ... -7.363 eV per atom
DFT formation energy ... -0.0411 eV/atom
Density ... 8.1 g/cm³

Unit cell a=3.268 b=3.268 c=5.721 alpha=90.00 beta=90.00 gamma=90.00
Fractional positions:
Cr (0.000, 0.000, 0.000)
Tc (0.500, 0.500, 0.324)
As (0.000, 0.000, 0.514)
As (0.500, 0.500, 0.861)

=====

[4]
Entry from Alexandria via LeMat-Bulk: a relaxed structure of CrTcAs3 (PBE).

Output
Fermi-level density of states ... 6.1 states/eV/f.u.
Final energy ... -5.901 eV per atom
DFT formation energy ... 0.8870 eV/atom
Density ... 6.3 g/cm³

Unit cell a=4.630 b=4.630 c=4.630 alpha=90.00 beta=90.00 gamma=90.00
Fractional positions:
Cr (0.000, 0.000, 0.000)
Tc (0.500, 0.500, 0.500)
As (0.000, 0.000, 0.500)
As (0.000, 0.500, 0.000)
As (0.500, 0.000, 0.000)

=====

[5]
Entry from Alexandria via LeMat-Bulk: a relaxed structure of CrTc2As (PBE).

Output
Fermi-level density of states ... 3.8 states/eV/f.u.
Final energy ... -8.624 eV per atom
DFT formation energy ... 0.1276 eV/atom
Density ... 9.4 g/cm³

Unit cell a=4.574 b=4.574 c=4.653 alpha=98.93 beta=98.93 gamma=36.55
Fractional positions:
Cr (0.000, 0.000, 0.000)
Tc (0.261, 0.261, 0.762)
Tc (0.739, 0.739, 0.238)
As (0.500, 0.500, 0.500)

=====

[6]
Entry from Alexandria via LeMat-Bulk: a relaxed structure of CrTcAs2 (PBE).

Output
Fermi-level density of states ... 3.1 states/eV/f.u.
Final energy ... -7.238 eV per atom
DFT formation energy ... 0.0844 eV/atom
Density ... 7.9 g/cm³

Unit cell a=4.204 b=4.204 c=5.206 alpha=99.05 beta=99.05 gamma=44.17
Fractional positions:
Cr (0.000, 0.000, 0.000)
Tc (0.500, 0.500, 0.500)
As (0.238, 0.238, 0.736)
As (0.762, 0.762, 0.264)

=====

[7]
Entry from Alexandria via LeMat-Bulk: a relaxed structure of CrTcAs2 (PBE).

Output
Fermi-level density of states ... 3.2 states/eV/f.u.
Final energy ... -7.049 eV per atom
DFT formation energy ... 0.2727 eV/atom
Density ... 7.7 g/cm³

Unit cell a=3.148 b=4.056 c=5.075 alpha=90.00 beta=90.58 gamma=90.00
Fractional positions:
Cr (0.000, 0.000, 0.000)
Tc (0.500, 0.000, 0.500)
As (0.335, 0.500, 0.761)
As (0.665, 0.500, 0.239)

=====

[8]
Entry from Alexandria via LeMat-Bulk: a relaxed structure of CrTc2As (PBE).

Output
Fermi-level density of states ... 5.6 states/eV/f.u.
Final energy ... -8.392 eV per atom
DFT formation energy ... 0.3595 eV/atom
Density ... 9.3 g/cm³

Unit cell a=2.765 b=2.765 c=8.220 alpha=90.00 beta=90.00 gamma=113.32
Fractional positions:
Cr (0.000, 0.000, 0.000)
Tc (0.000, 0.000, 0.490)
Tc (0.500, 0.500, 0.758)
As (0.500, 0.500, 0.236)

=====

[9]
Entry from Alexandria via LeMat-Bulk: a relaxed structure of CrTcAs2 (PBE).

Output
Fermi-level density of states ... 3.1 states/eV/f.u.
Final energy ... -7.415 eV per atom
DFT formation energy ... -0.0929 eV/atom
Density ... 8.2 g/cm³

Unit cell a=6.267 b=6.267 c=6.267 alpha=150.27 beta=150.26 gamma=42.55
Fractional positions:
Cr (0.000, 0.000, 0.000)
Tc (0.249, 0.749, 0.500)
As (0.581, 0.581, 0.000)
As (0.842, 0.342, 0.500)

=====

[10]
Entry from Alexandria via LeMat-Bulk: a relaxed structure of CrTc2As (PBE).

Output
Fermi-level density of states ... 4.4 states/eV/f.u.
Final energy ... -8.577 eV per atom
DFT formation energy ... 0.1744 eV/atom
Density ... 9.5 g/cm³

Unit cell a=8.364 b=8.364 c=8.364 alpha=19.45 beta=19.45 gamma=19.45
Fractional positions:
Cr (0.000, 0.000, 0.000)
Tc (0.253, 0.253, 0.253)
Tc (0.499, 0.499, 0.499)
As (0.746, 0.746, 0.746)

=====

[11]
Entry from Alexandria via LeMat-Bulk: a relaxed structure of CrTcAs (PBE).

Output
Fermi-level density of states ... 2.4 states/eV/f.u.
Final energy ... -8.046 eV per atom
DFT formation energy ... 0.1671 eV/atom
Density ... 8.8 g/cm³

Unit cell a=2.829 b=2.829 c=6.138 alpha=90.00 beta=90.00 gamma=120.00
Fractional positions:
Cr (0.000, 0.000, 0.000)
Tc (0.667, 0.333, 0.310)
As (0.333, 0.667, 0.675)

=====

[12]
Entry from Alexandria via LeMat-Bulk: a relaxed structure of CrTcAs (PBE).

Output
Fermi-level density of states ... 2.3 states/eV/f.u.
Final energy ... -8.101 eV per atom
DFT formation energy ... 0.1123 eV/atom
Density ... 9.0 g/cm³

Unit cell a=4.423 b=4.423 c=4.423 alpha=141.99 beta=127.51 gamma=66.62
Fractional positions:
Cr (0.000, 0.000, 0.000)
Tc (0.669, 0.669, 0.000)
As (0.332, 0.332, 0.000)